VASP calculation (PBE-GGA) on crystalline NaTlInCu at its relaxed geometry.

Lattice parameters (Å, degrees): 5.003 5.003 5.003 60.00 60.00 60.00
Atoms (fractional coordinates):
Na 0.750 0.750 0.750
Tl 0.500 0.500 0.500
Cu 0.250 0.250 0.250
In 0.000 0.000 0.000

SG: No. 216
Uncorrected energy, eV per atom: -2.518

VASP calculation (PBE-GGA) on crystalline NaTlIn2Cu at its relaxed geometry.

Lattice parameters (Å, degrees): 5.038 5.038 5.449 90.00 90.00 90.00
Atoms (fractional coordinates):
Na 0.000 0.000 0.500
Tl 0.500 0.500 0.500
Cu 0.000 0.000 0.000
In 0.000 0.500 0.000
In 0.500 0.000 0.000

SG: No. 123
Excess energy over the best structure of this formula in the dataset, eV/atom: 0.000

VASP calculation (PBE-GGA) on crystalline NaYInCu at its relaxed geometry.

Lattice parameters (Å, degrees): 4.904 4.904 4.904 60.00 60.00 60.00
Atoms (fractional coordinates):
Y 0.250 0.250 0.250
Na 0.500 0.500 0.500
Cu 0.000 0.000 0.000
In 0.750 0.750 0.750

SG: No. 216
Uncorrected energy, eV per atom: -3.773

VASP calculation (PBE-GGA) on crystalline NaZn2InCu at its relaxed geometry.

Lattice parameters (Å, degrees): 4.747 4.747 4.998 90.00 90.00 90.00
Atoms (fractional coordinates):
Na 0.500 0.500 0.500
Zn 0.000 0.500 0.000
Zn 0.500 0.000 0.000
Cu 0.000 0.000 0.000
In 0.000 0.000 0.500

SG: No. 123
Uncorrected energy, eV per atom: -2.033

VASP calculation (PBE-GGA) on crystalline Nb3InCu at its relaxed geometry.

Lattice parameters (Å, degrees): 5.024 5.024 5.024 90.00 90.00 90.00
Each line ends with the local moment (μB).
Atoms (fractional coordinates):
Nb 0.000 0.500 0.000  0.20
Nb 0.000 0.000 0.500  0.13
Nb 0.500 0.000 0.000  0.39
Cu 0.500 0.500 0.500  0.03
In 0.000 0.000 0.000  0.00

SG: No. 221
Excess energy over the best structure of this formula in the dataset, eV/atom: 1.852

VASP calculation (PBE-GGA) on crystalline NbInCu at its relaxed geometry.

Lattice parameters (Å, degrees): 6.216 6.199 6.095 87.05 90.00 90.00
Atoms (fractional coordinates):
Cu 0.500 0.246 0.762
Cu 0.000 0.254 0.238
Cu 0.500 0.754 0.238
Cu 0.000 0.746 0.762
Nb 0.740 0.500 0.000
Nb 0.760 0.000 0.000
Nb 0.260 0.500 0.000
Nb 0.240 0.000 0.000
In 0.255 0.000 0.500
In 0.245 0.500 0.500
In 0.745 0.000 0.500
In 0.755 0.500 0.500

SG: No. 12
Uncorrected energy, eV per atom: -5.300

VASP calculation (PBE-GGA) on crystalline Nb12In5Cu3 at its relaxed geometry.

Lattice parameters (Å, degrees): 13.770 13.770 13.770 109.47 109.47 109.47
Atoms (fractional coordinates):
Cu 0.750 0.375 0.125
Cu 0.875 0.750 0.125
Cu 0.375 0.750 0.625
Cu 0.250 0.125 0.375
Cu 0.875 0.125 0.250
Cu 0.375 0.625 0.250
Cu 0.625 0.375 0.750
Cu 0.125 0.875 0.750
Cu 0.750 0.875 0.625
Cu 0.625 0.250 0.375
Cu 0.125 0.250 0.875
Cu 0.250 0.625 0.875
In 0.125 0.375 0.250
In 0.000 0.500 0.000
In 0.000 0.000 0.000
In 0.375 0.250 0.125
In 0.500 0.000 0.500
In 0.500 0.500 0.000
In 0.125 0.750 0.375
In 0.750 0.125 0.875
In 0.750 0.625 0.375
In 0.375 0.125 0.750
In 0.625 0.875 0.250
In 0.500 0.500 0.500
In 0.500 0.000 0.000
In 0.000 0.000 0.500
In 0.250 0.375 0.625
In 0.250 0.875 0.125
In 0.000 0.500 0.500
In 0.875 0.250 0.625
In 0.625 0.750 0.875
In 0.875 0.625 0.750
Nb 0.735 0.146 0.090
Nb 0.355 0.590 0.444
Nb 0.910 0.354 0.265
Nb 0.590 0.235 0.146
Nb 0.589 0.735 0.645
Nb 0.910 0.556 0.145
Nb 0.355 0.765 0.411
Nb 0.056 0.911 0.146
Nb 0.556 0.910 0.645
Nb 0.735 0.589 0.145
Nb 0.765 0.410 0.354
Nb 0.855 0.944 0.090
Nb 0.146 0.735 0.590
Nb 0.354 0.444 0.089
Nb 0.089 0.944 0.354
Nb 0.411 0.146 0.556
Nb 0.089 0.145 0.235
Nb 0.410 0.645 0.056
Nb 0.855 0.911 0.265
Nb 0.146 0.411 0.056
Nb 0.354 0.910 0.765
Nb 0.556 0.646 0.411
Nb 0.944 0.855 0.590
Nb 0.765 0.355 0.911
Nb 0.444 0.354 0.589
Nb 0.056 0.145 0.410
Nb 0.235 0.645 0.089
Nb 0.145 0.089 0.735
Nb 0.646 0.090 0.235
Nb 0.854 0.589 0.944
Nb 0.590 0.355 0.944
Nb 0.589 0.854 0.444
Nb 0.911 0.855 0.765
Nb 0.911 0.056 0.646
Nb 0.854 0.265 0.410
Nb 0.145 0.056 0.910
Nb 0.646 0.556 0.911
Nb 0.444 0.090 0.355
Nb 0.265 0.411 0.855
Nb 0.235 0.590 0.646
Nb 0.944 0.089 0.854
Nb 0.645 0.235 0.589
Nb 0.410 0.765 0.854
Nb 0.090 0.444 0.855
Nb 0.411 0.265 0.355
Nb 0.090 0.646 0.735
Nb 0.645 0.410 0.556
Nb 0.265 0.854 0.910

SG: No. 230
Uncorrected energy, eV per atom: -6.308

VASP calculation (PBE-GGA) on crystalline NbInCu2 at its relaxed geometry.

Lattice parameters (Å, degrees): 2.985 2.985 7.216 90.00 90.00 90.00
Atoms (fractional coordinates):
Nb 0.500 0.500 0.500
Cu 0.000 0.000 0.747
Cu 0.000 0.000 0.253
In 0.500 0.500 0.000

SG: No. 123
Uncorrected energy, eV per atom: -5.173

VASP calculation (PBE-GGA) on crystalline Nb3InCu at its relaxed geometry.

Lattice parameters (Å, degrees): 4.836 2.771 7.354 100.86 109.20 90.00
Atoms (fractional coordinates):
Nb 0.842 0.342 0.684
Nb 0.433 0.933 0.867
Nb 0.236 0.236 0.473
In 0.635 0.635 0.270
Cu 0.030 0.030 0.060

SG: No. 44
Excess energy over the best structure of this formula in the dataset, eV/atom: 0.000

VASP calculation (PBE-GGA) on crystalline NbInCu at its relaxed geometry.

Lattice parameters (Å, degrees): 3.451 3.451 8.996 90.03 89.97 90.00
Atoms (fractional coordinates):
Nb 0.750 0.250 0.570
Nb 0.250 0.750 0.430
In 0.751 0.249 0.228
In 0.249 0.751 0.772
Cu 0.251 0.749 0.076
Cu 0.749 0.251 0.924

SG: No. 129
Uncorrected energy, eV per atom: -5.552

VASP calculation (PBE-GGA) on crystalline Nb3InCu at its relaxed geometry.

Lattice parameters (Å, degrees): 4.695 4.695 4.695 90.00 90.00 90.00
Atoms (fractional coordinates):
Nb 0.000 0.500 0.000
Nb 0.000 0.000 0.500
Nb 0.500 0.000 0.000
Cu 0.000 0.000 0.000
In 0.500 0.500 0.500

SG: No. 221
Excess energy over the best structure of this formula in the dataset, eV/atom: 0.613

VASP calculation (PBE-GGA) on crystalline NbInCu3 at its relaxed geometry.

Lattice parameters (Å, degrees): 4.848 4.848 4.848 90.00 90.00 90.00
Atoms (fractional coordinates):
Nb 0.000 0.000 0.000
Cu 0.000 0.500 0.000
Cu 0.000 0.000 0.500
Cu 0.500 0.000 0.000
In 0.500 0.500 0.500

SG: No. 221
Uncorrected energy, eV per atom: -3.782

Number 1: spin magnetization 0.00 μB per formula unit, calculated density 7.6 Mg/m³. Number 2: spin magnetization 0.00 μB per formula unit, calculated density 6.2 Mg/m³. Number 3: spin magnetization 0.00 μB per formula unit, calculated density 5.8 Mg/m³. Number 4: spin magnetization 0.00 μB per formula unit, calculated density 4.9 Mg/m³. Number 5: spin magnetization 0.95 μB per formula unit, calculated density 6.0 Mg/m³. Number 6: spin magnetization 0.00 μB per formula unit, calculated density 7.7 Mg/m³. Number 7: spin magnetization 0.00 μB per formula unit, calculated density 6.2 Mg/m³. Number 8: spin magnetization 0.00 μB per formula unit, calculated density 8.6 Mg/m³. Number 9: spin magnetization 0.00 μB per formula unit, calculated density 8.3 Mg/m³. Number 10: spin magnetization 0.00 μB per formula unit, calculated density 8.4 Mg/m³. Number 11: spin magnetization 0.00 μB per formula unit, calculated density 7.3 Mg/m³. Number 12: spin magnetization 0.00 μB per formula unit, calculated density 5.8 Mg/m³.